1.
Compound: PtIF3
Source: Alexandria via LeMat-Bulk
Functional: SCAN
Structure: single point on PBEsol structure

Output
- DOS(E_F): 3.499 states/eV/cell
- Energy relative to the elements, uncorrected: -544 meV per atom
- DFT total energy: -120.27 eV for the cell shown

Cell: 4.279 4.279 4.279 Å, 90.00 90.00 90.00°
Each line ends with the local moment (μB).
Element x y z (fractional)
I 0.500 0.500 0.500  0.82
Pt 0.000 0.000 0.000  -0.03
F 0.000 0.500 0.000  0.07
F 0.000 0.000 0.500  0.07
F 0.500 0.000 0.000  0.07

***

2.
Compound: Y2CrCl
Source: Alexandria via LeMat-Bulk
Functional: SCAN
Structure: single point on PBEsol structure

Output
- DOS(E_F): 2.476 states/eV/cell
- Energy relative to the elements, uncorrected: -328 meV per atom
- DFT total energy: -83.36 eV for the cell shown
- ΔE to the lowest computed polymorph: 0.88 eV per formula unit

Cell: 3.802 5.553 5.553 Å, 65.52 69.98 69.98°
Each line ends with the local moment (μB).
Element x y z (fractional)
Y 0.227 0.773 0.773  0.03
Y 0.773 0.227 0.227  0.03
Cr 0.000 0.500 0.500  3.96
Cl 0.500 0.000 0.000  0.04

***

3.
Compound: Sr2GaB
Source: Alexandria via LeMat-Bulk
Functional: SCAN
Structure: single point on PBEsol structure

Output
- DOS(E_F): 2.232 states/eV/cell
- Formation energy: 321 meV per atom
- DFT total energy: -67.04 eV for the cell shown

Cell: 5.164 5.164 5.164 Å, 60.00 60.00 60.00°
Element x y z (fractional)
Sr 0.250 0.250 0.250
Sr 0.750 0.750 0.750
B 0.000 0.000 0.000
Ga 0.500 0.500 0.500

***

4.
Compound: MnCdGa2Si
Source: Alexandria via LeMat-Bulk
Functional: SCAN
Structure: single point on PBEsol structure

Output
- DOS(E_F): 1.684 states/eV/cell
- Energy relative to the elements, uncorrected: 221 meV per atom
- DFT total energy: -90.27 eV for the cell shown

Cell: 4.349 4.619 4.619 Å, 90.00 90.00 90.00°
Each line ends with the local moment (μB).
Element x y z (fractional)
Si 0.500 0.000 0.000  -0.05
Mn 0.000 0.000 0.000  0.97
Ga 0.000 0.000 0.500  -0.03
Ga 0.000 0.500 0.000  -0.03
Cd 0.500 0.500 0.500  0.06

***

5.
Compound: NaCaSN2
Source: Alexandria via LeMat-Bulk
Functional: SCAN
Structure: single point on PBEsol structure

Output
- DOS(E_F): 2.886 states/eV/cell
- Energy relative to the elements, uncorrected: 625 meV per atom
- DFT total energy: -38.97 eV for the cell shown

Cell: 4.624 4.624 5.363 Å, 90.00 90.00 90.00°
Each line ends with the local moment (μB).
Element x y z (fractional)
Na 0.500 0.500 0.500  0.00
Ca 0.000 0.000 0.000  0.03
S 0.000 0.000 0.500  0.35
N 0.000 0.500 0.000  1.50
N 0.500 0.000 0.000  1.50

***

6.
Compound: BaMgRhI2
Source: Alexandria via LeMat-Bulk
Functional: SCAN
Structure: single point on PBEsol structure

Output
- Energy relative to the elements, uncorrected: 447 meV per atom
- DFT total energy: -149.55 eV for the cell shown

Cell: 6.459 6.459 7.241 Å, 90.00 90.00 90.00°
Each line ends with the local moment (μB).
Element x y z (fractional)
I 0.000 0.500 0.000  0.02
I 0.500 0.000 0.000  0.02
Mg 0.000 0.000 0.500  0.01
Rh 0.500 0.500 0.500  2.15
Ba 0.000 0.000 0.000  0.00